The following is a DFT calculation (PBE-GGA) of a relaxed Ag3H2Br4 crystal.

extended XYZ file:
```
9
Lattice="5.693 0.000 2.840 2.846 6.430 1.420 0.038 0.000 6.949" Properties=species:S:1:pos:R:3 pbc="T T T"
Br 6.568 1.934 8.152
Br 3.722 4.496 6.732
Br 2.008 4.496 3.057
Br 4.855 1.934 4.477
Ag 4.269 3.215 2.130
Ag 1.423 3.215 0.710
Ag 0.000 0.000 0.000
H 3.605 0.000 6.955
H 2.125 0.000 2.834
```

The calculation puts the density of states at the Fermi level at 0.864 states/eV/atom. The total moment is 0.220 μB/atom. As for the volume: 28.2 A^3/atom. The value obtained for the electronic total energy is -2.11 eV per atom.